[1]
Compound: BaMg2Cr2
Source: Alexandria
Functional: PBE-GGA
Structure: optimized geometry

Structure (POSCAR):
```
BaMg2Cr2
1.0
3.278 0.000 0.000
0.000 3.278 0.000
0.000 0.000 21.883
Ba Mg Cr
2 4 4
Direct
0.000 0.000 0.000 Ba
0.500 0.500 0.500 Ba
0.000 0.000 0.360 Mg
0.000 0.000 0.640 Mg
0.500 0.500 0.140 Mg
0.500 0.500 0.860 Mg
0.000 0.500 0.250 Cr
0.000 0.500 0.750 Cr
0.500 0.000 0.250 Cr
0.500 0.000 0.750 Cr
```

Values from the calculation:
Energy relative to the elements   0.5857 eV per atom
E   -4.286 eV/atom
Density   4095 kg/m³

=====

[2]
Compound: ZrTe2Os
Source: Alexandria
Functional: PBE-GGA
Structure: optimized geometry

Structure (POSCAR):
```
ZrTe2Os
1.0
3.314 0.000 0.000
-1.657 2.870 0.000
0.000 0.000 26.538
Zr Te Os
3 6 3
Direct
0.000 0.000 0.000 Zr
0.333 0.667 0.667 Zr
0.667 0.333 0.333 Zr
0.000 0.000 0.243 Te
0.000 0.000 0.757 Te
0.333 0.667 0.424 Te
0.333 0.667 0.910 Te
0.667 0.333 0.090 Te
0.667 0.333 0.576 Te
0.000 0.000 0.500 Os
0.333 0.667 0.167 Os
0.667 0.333 0.833 Os
```

Values from the calculation:
Energy relative to the elements, uncorrected   1.307 eV/f.u.
E   -6.189 eV/atom
ΔE to the lowest computed polymorph   60.7 kJ/mol of atoms
Density   10590 kg/m³

=====

[3]
Compound: BaSiTc2O
Source: Alexandria
Functional: PBE-GGA
Structure: optimized geometry

Structure (POSCAR):
```
BaSiTc2O
1.0
5.216 0.000 0.000
0.000 5.216 0.000
0.000 0.000 5.669
Ba Si Tc O
1 1 2 1
Direct
0.000 0.000 0.000 Ba
0.000 0.000 0.500 Si
0.000 0.500 0.000 Tc
0.500 0.000 0.000 Tc
0.500 0.500 0.500 O
```

Values from the calculation:
Energy relative to the elements, uncorrected   15.169 eV/f.u.
E   -3.573 eV/atom
Density   4063 kg/m³

=====

[4]
Compound: SbAsBr2
Source: Alexandria
Functional: PBE-GGA
Structure: optimized geometry

Structure (POSCAR):
```
SbAsBr2
1.0
3.326 0.000 0.000
0.000 4.523 0.000
0.000 0.000 6.571
Sb As Br
1 1 2
Direct
0.000 0.000 0.000 Sb
0.000 0.000 0.500 As
0.500 0.500 0.252 Br
0.500 0.500 0.748 Br
```

Values from the calculation:
Energy relative to the elements, uncorrected   1.768 eV/f.u.
E   -2.587 eV/atom
ΔE to the lowest computed polymorph   68.7 kJ/mol of atoms
Density   5989 kg/m³

=====

Number 1: Fermi-level density of states 1.31 states/eV per atom. Number 2: Fermi-level density of states 1.17 states/eV per atom. Number 3: Fermi-level density of states 1.23 states/eV per atom. Number 4: Fermi-level density of states 0.84 states/eV per atom.